The following is a PBE+U calculation of Co2SiO4 after structural relaxation, from OQMD via LeMat-Bulk.

Cell: 5.7637 5.7637 5.7637 Å, 60.00 60.00 60.00°
Closest atoms and distances in Å follow each position.
Fractional positions:
Co1 0.0000 0.0000 0.0000  6 O 2.10
Co2 0.0000 0.0000 0.5000  6 O 2.10
Co3 0.0000 0.5000 0.0000  6 O 2.10
Co4 0.5000 0.0000 0.0000  6 O 2.10
Si1 0.3750 0.3750 0.3750  4 O 1.66
Si2 0.6250 0.6250 0.6250  4 O 1.66
O1 0.2573 0.2573 0.2573  1 Si 1.66
O2 0.2573 0.2573 0.7280  1 Si 1.66
O3 0.2573 0.7280 0.2573  1 Si 1.66
O4 0.2720 0.7427 0.7427  1 Si 1.66
O5 0.7280 0.2573 0.2573  1 Si 1.66
O6 0.7427 0.2720 0.7427  1 Si 1.66
O7 0.7427 0.7427 0.2720  1 Si 1.66
O8 0.7427 0.7427 0.7427  1 Si 1.66

## Properties
Theoretical density, Mg/m³: 5.15
Spin magnetization, μB per formula unit: 6.00
Space-group type: Fd-3m, No. 227
E, eV/atom: -6.80